Mo2AuBr | PBE-GGA | optimized geometry

Output
Total DFT energy (no corrections): -5.646 eV/atom
Formation energy without anion corrections: 1.0072 eV/atom
ΔE to the lowest computed polymorph: 603 meV per atom

Lattice parameters (Å, degrees): 6.564 6.564 6.564 90.00 90.00 90.00
Space group F-43m (No. 216)
Asymmetric unit:
Mo 0.000 0.000 0.000 x4
Mo 0.250 0.250 0.250 x4
Au 0.000 0.000 0.500 x4
Br 0.250 0.250 0.750 x4